(1)
# K2CaAl

A relaxed K2CaAl crystal (PBE-GGA, Alexandria via LeMat-Bulk).

abc: 10.4734 10.4734 4.9652
angles: 76.35 76.35 21.85
Atoms (fractional coordinates):
K1 0.0934 0.0934 0.9058
Al1 0.7500 0.7500 0.7500
Ca1 0.2500 0.2500 0.2500
K2 0.4066 0.4066 0.5942

Values from the calculation:
- Calculated density: 1.23 Mg/m³
- Volume: 196.8 Å³/cell
- Space group: No. 12
- E_form: 148 meV/atom

=====

(2)
# BaBr

A relaxed BaBr crystal (PBE-GGA, Alexandria via LeMat-Bulk).

abc: 12.5494 12.5494 4.4778
angles: 90.00 90.00 90.00
Site moments in Bohr magnetons follow the coordinates.
Atoms (fractional coordinates):
Br1 0.8801 0.8095 0.5000  0.01
Br2 0.3801 0.3095 0.0000  0.01
Ba1 0.9375 0.2870 0.0000  0.14
Br3 0.6905 0.3801 0.0000  0.01
Br4 0.8095 0.1199 0.5000  0.01
Ba2 0.4375 0.7870 0.5000  0.14
Ba3 0.0625 0.7130 0.0000  0.14
Br5 0.6199 0.6905 0.0000  0.01
Ba4 0.5625 0.2130 0.5000  0.14
Ba5 0.2870 0.0625 0.0000  0.14
Br6 0.3095 0.6199 0.0000  0.01
Br7 0.1199 0.1905 0.5000  0.01
Ba6 0.2130 0.4375 0.5000  0.14
Ba7 0.7130 0.9375 0.0000  0.14
Ba8 0.7870 0.5625 0.5000  0.14
Br8 0.1905 0.8801 0.5000  0.01

Values from the calculation:
- Calculated density: 4.09 Mg/m³
- Volume: 705.2 Å³/cell
- ΔE_f (raw): -1.55 eV/atom
- Space group: No. 87

=====

(3)
# K5Br2O2

A relaxed K5Br2O2 crystal (PBE-GGA, Alexandria via LeMat-Bulk).

abc: 5.2318 7.8707 7.8965
angles: 65.35 70.65 70.59
Site moments in Bohr magnetons follow the coordinates.
Atoms (fractional coordinates):
K1 0.6534 0.0893 0.6038  0.01
K2 0.3466 0.9107 0.3962  0.01
O1 0.8849 0.8208 0.4095  0.38
K3 0.8872 0.5031 0.7224  0.00
K4 0.0000 0.0000 0.0000  0.00
K5 0.1128 0.4969 0.2776  0.00
Br1 0.3758 0.2869 0.9616  0.00
O2 0.1151 0.1792 0.5905  0.38
Br2 0.6242 0.7131 0.0384  0.00

Values from the calculation:
- Calculated density: 2.37 Mg/m³
- Volume: 271.6 Å³/cell
- ΔE_f (raw): -1.28 eV/atom
- Space group: No. 12